KGaAg3 (PBE-GGA, optimized geometry); energy of formation from the pure elements = 0.087 eV/atom; energy above the lowest structure with this stoichiometry = 63.8 meV/atom
1.0
5.090 0.000 0.000
0.000 5.090 0.000
0.000 0.000 5.090
K Ga Ag
1 1 3
direct
0.000 0.000 0.000
0.500 0.500 0.500
0.000 0.500 0.500
0.500 0.000 0.500
0.500 0.500 0.000

***

KGaAg2 (PBE-GGA, optimized geometry); energy of formation from the pure elements = 0.237 eV/atom; energy above the lowest structure with this stoichiometry = 289.3 meV/atom
1.0
1.701 0.982 9.552
-1.701 0.982 9.552
0.000 -1.964 9.552
K Ga Ag
1 1 2
direct
0.000 0.000 0.000
0.500 0.500 0.500
0.233 0.233 0.233
0.767 0.767 0.767

***

Number 1: VASP energy -12.24 eV for the cell shown. Number 2: VASP energy -8.88 eV for the cell shown.